# 1
The following is a SCAN calculation of P3PdSe at its PBEsol-relaxed geometry, from the Alexandria database.

POSCAR file:
```
P3PdSe
1.0
-3.781 0.836 2.491
-2.091 -3.600 -1.966
1.591 -2.746 3.336
P Pd Se
3 1 1
direct
0.500 0.000 0.000
0.000 0.000 0.500
0.000 0.500 0.000
0.000 0.000 0.000
0.500 0.500 0.500
```

Values from the calculation:
DFT total energy: -15.812 eV per atom
Formation energy (no corrections): 23.0 kcal/mol of atoms
Symmetry: Pm-3m (221)



# 2
The following is a SCAN calculation of SiPPd2 at its PBEsol-relaxed geometry, from the Alexandria database.

POSCAR file:
```
SiPPd2
1.0
5.723 0.000 0.000
-2.861 5.348 0.308
0.000 2.774 5.005
P Si Pd
2 2 4
direct
0.000 0.000 0.000
0.750 0.500 0.750
0.250 0.500 0.250
0.500 0.000 0.500
0.875 0.250 0.634
0.375 0.250 0.116
0.634 0.750 0.375
0.116 0.750 0.875
```

Values from the calculation:
DFT total energy: -21.588 eV per atom
Formation energy (no corrections): -2.2 kcal/mol of atoms
Symmetry: I-42d (122)